No. 1
Computed, not measured: a relaxed structure of Te2RhF at the GGA-PBE level of DFT.

a b c (Å): 3.110 3.110 28.297
angles (deg): 90.00 90.00 120.00
Sites, in units of the cell vectors:
Te 0.000 0.000 0.091
Te 0.000 0.000 0.909
Te 0.333 0.667 0.576
Te 0.333 0.667 0.758
Te 0.667 0.333 0.242
Te 0.667 0.333 0.424
Rh 0.000 0.000 0.000
Rh 0.333 0.667 0.667
Rh 0.667 0.333 0.333
F 0.000 0.000 0.500
F 0.333 0.667 0.167
F 0.667 0.333 0.833

- Crystal system: trigonal
- Formation energy (no corrections): -0.17 eV/atom
- Final energy: -4.048 eV/atom
- Space group: R-3m, No. 166

---

No. 2
Computed, not measured: a relaxed structure of PmPr2ZnN at the GGA-PBE level of DFT.

a b c (Å): 5.049 5.049 4.930
angles (deg): 90.00 90.00 90.00
Sites, in units of the cell vectors:
Pm 0.000 0.000 0.000
Pr 0.000 0.500 0.500
Pr 0.500 0.000 0.500
Zn 0.500 0.500 0.000
N 0.000 0.000 0.500

- Crystal system: tetragonal
- Formation energy (no corrections): -0.61 eV/atom
- Final energy: -5.395 eV/atom
- Space group: P4/mmm, No. 123

---

No. 3
Computed, not measured: a relaxed structure of Cs3K5Na6 at the GGA-PBE level of DFT.

a b c (Å): 6.402 18.463 15.337
angles (deg): 90.00 90.00 90.00
Sites, in units of the cell vectors:
Cs 0.250 0.057 0.249
Cs 0.250 0.443 0.249
Cs 0.250 0.750 0.270
Cs 0.750 0.250 0.730
Cs 0.750 0.557 0.751
Cs 0.750 0.943 0.751
K 0.250 0.071 0.585
K 0.250 0.429 0.585
K 0.250 0.597 0.990
K 0.250 0.750 0.772
K 0.250 0.903 0.990
K 0.750 0.097 0.010
K 0.750 0.250 0.228
K 0.750 0.403 0.010
K 0.750 0.571 0.415
K 0.750 0.929 0.415
Na 0.250 0.113 0.854
Na 0.250 0.250 0.034
Na 0.250 0.250 0.428
Na 0.250 0.387 0.854
Na 0.250 0.650 0.543
Na 0.250 0.850 0.543
Na 0.750 0.150 0.457
Na 0.750 0.350 0.457
Na 0.750 0.613 0.146
Na 0.750 0.750 0.572
Na 0.750 0.750 0.966
Na 0.750 0.887 0.146

- Crystal system: orthorhombic
- Final energy: -1.115 eV/atom
- Space group: Pmmn, No. 59
- ΔE_f: 25 meV per atom

---

No. 4
Computed, not measured: a relaxed structure of NaMn2SiPd at the GGA-PBE level of DFT.

a b c (Å): 4.882 4.882 4.936
angles (deg): 90.00 90.00 90.00
Sites, in units of the cell vectors:
Na 0.000 0.000 0.000
Mn 0.000 0.500 0.500
Mn 0.500 0.000 0.500
Si 0.500 0.500 0.000
Pd 0.000 0.000 0.500

- Crystal system: tetragonal
- Formation energy (no corrections): 0.90 eV/atom
- Final energy: -5.151 eV/atom
- Space group: P4/mmm, No. 123

---

Look up the final energy of the fourth one.
-5.151 eV/atom

---

Which of these has the highest final energy?
Cs3K5Na6

---

Which of these has the lowest final energy?
PmPr2ZnN